1.
A plane-wave DFT calculation with GGA-PBE was carried out for a relaxed structure of CeZn2GeAu5.

abc: 4.917 4.917 7.615
angles: 90.00 90.00 90.00
Space group P4/mmm (No. 123)
Symmetry-distinct sites (fractional):
Ce (0.000, 0.000, 0.000) x1
Zn (0.500, 0.500, 0.344) x2
Ge (0.000, 0.000, 0.500) x1
Au (0.000, 0.500, 0.254) x4
Au (0.500, 0.500, 0.000) x1

Summary:
The total energy is -3.445 eV/atom. The value obtained for the energy of formation is -1.515 eV per formula unit.

---

2.
A plane-wave DFT calculation with GGA-PBE was carried out for a relaxed structure of Tl12HgSb7.

abc: 13.3832 13.3832 13.1579
angles: 90.00 90.00 120.00
Space group R-3 (No. 148, hexagonal axes)
Symmetry-distinct sites (fractional):
Tl (0.0273, 0.5130, 0.2475) x18
Tl (0.0963, 0.1937, 0.8336) x18
Hg (0.0000, 0.0000, 0.5000) x3
Sb (0.0000, 0.0000, 0.0000) x3
Sb (0.1039, 0.2087, 0.3393) x18

Summary:
Its formation energy (no corrections) is 0.021 eV per atom. The total energy is -2.857 eV/atom. The distance to the lowest polymorph of the same formula comes out at 0 meV per atom.

---

3.
A plane-wave DFT calculation with GGA-PBE was carried out for a relaxed structure of Lu2HfMg.

abc: 4.687 4.687 4.618
angles: 90.00 90.00 90.00
Space group P4/mmm (No. 123)
Symmetry-distinct sites (fractional):
Lu (0.000, 0.500, 0.000) x2
Hf (0.000, 0.000, 0.500) x1
Mg (0.500, 0.500, 0.500) x1

Summary:
The total energy is -5.008 eV/atom. The distance to the lowest polymorph of the same formula comes out at 147 meV per atom. The value obtained for the energy of formation is 0.557 eV per formula unit.